Here is an optimized crystal structure of Co3O2F4 from Alexandria via LeMat-Bulk. Energies are from PBE+U.

a b c (Å): 7.575 5.594 5.594
angles (deg): 69.40 69.25 69.25
Atoms (fractional coordinates):
Co 0.837 0.647 0.669
Co 0.500 0.990 0.010
Co 0.000 0.993 0.007
Co 0.670 0.348 0.310
Co 0.163 0.331 0.353
Co 0.330 0.690 0.652
O 0.327 0.991 0.364
O 0.000 0.300 0.700
O 0.000 0.674 0.326
O 0.673 0.636 0.009
F 0.670 0.027 0.627
F 0.032 0.769 0.777
F 0.629 0.568 0.559
F 0.371 0.441 0.432
F 0.968 0.223 0.231
F 0.293 0.905 0.906
F 0.330 0.373 0.973
F 0.707 0.094 0.095

Values from the calculation:
DOS at the Fermi energy (states/eV per cell): 2.97
Relative energy among the computed polymorphs (kJ/mol of atoms): 1.8
M_tot (μB/atom): 0.8870
Space group: No. 5